First-principles (PBE) data for a geometry-optimized Cs2SnBrCl6 structure, as listed in Alexandria via LeMat-Bulk.

Structure (POSCAR):
```
Cs2SnBrCl6
1.0
-7.8286 -0.3954 2.5932
-2.4100 -2.1382 -7.6018
-4.4455 -6.4488 -1.2604
Cs Sn Br Cl
2 1 1 6
Direct
0.7500 0.2500 0.5000
0.2500 0.7500 0.5000
0.0000 0.0000 0.0000
0.5000 0.5000 0.0000
0.2344 0.2344 0.5312
0.7656 0.7656 0.4688
0.2117 0.2117 0.0000
0.7883 0.7883 0.0000
0.7883 0.2117 0.0000
0.2117 0.7883 0.0000
```

Properties
Size of the total moment (μB per cell): 1.0
V (Å³/atom): 36.617
Formation energy without anion corrections (eV per formula unit): -12.280
ΔE to the lowest computed polymorph (meV/atom): 7

First-principles (PBE) data for a geometry-optimized Sr4Ta2N structure, as listed in Alexandria via LeMat-Bulk.

Structure (POSCAR):
```
Sr4Ta2N
1.0
5.1536 0.0000 0.0000
0.0000 5.1536 0.0000
2.5768 2.5768 8.7617
Sr N Ta
4 1 2
Direct
0.8510 0.8510 0.2981
0.1490 0.1490 0.7019
0.0000 0.5000 0.0000
0.5000 0.0000 0.0000
0.0000 0.0000 0.0000
0.6536 0.6536 0.6929
0.3464 0.3464 0.3071
```

Properties
Size of the total moment (μB per cell): 9.0
V (Å³/atom): 33.243
Formation energy without anion corrections (eV per formula unit): 7.530

First-principles (PBE) data for a geometry-optimized SbRuI2Cl structure, as listed in Alexandria via LeMat-Bulk.

Structure (POSCAR):
```
SbRuI2Cl
1.0
-4.2486 3.2355 3.0900
0.3045 -4.0423 4.6513
3.6692 2.7582 2.1569
I Sb Cl Ru
2 1 1 1
Direct
0.0000 0.5000 0.0000
0.5000 0.0000 0.0000
0.0000 0.0000 0.5000
0.0000 0.0000 0.0000
0.5000 0.5000 0.5000
```

Properties
Size of the total moment (μB per cell): 4.5
V (Å³/atom): 38.614
Formation energy without anion corrections (eV per formula unit): 6.965
ΔE to the lowest computed polymorph (meV/atom): 1077

First-principles (PBE) data for a geometry-optimized PuHf2V structure, as listed in Alexandria via LeMat-Bulk.

Structure (POSCAR):
```
PuHf2V
1.0
-1.9259 -1.8492 1.6805
0.6770 -0.6611 3.0096
-5.4717 7.0327 4.4292
V Hf Pu
1 2 1
Direct
0.0000 0.0000 0.0000
0.2593 0.2593 0.2221
0.7407 0.7407 0.7779
0.5000 0.5000 0.5000
```

Properties
Size of the total moment (μB per cell): 7.0
V (Å³/atom): 21.080
ΔE to the lowest computed polymorph (meV/atom): 117
ΔE_f (eV per atom): 0.283

First-principles (PBE) data for a geometry-optimized Ba2Os structure, as listed in Alexandria via LeMat-Bulk.

Structure (POSCAR):
```
Ba2Os
1.0
2.6111 -4.5225 0.0000
2.6111 4.5225 0.0000
0.0000 0.0000 8.1007
Ba Os
4 2
Direct
0.0000 0.0000 0.0000
0.0000 0.0000 0.5000
0.3333 0.6667 0.2500
0.6667 0.3333 0.7500
0.6667 0.3333 0.2500
0.3333 0.6667 0.7500
```

Properties
Size of the total moment (μB per cell): 0.0
V (Å³/atom): 31.886
ΔE to the lowest computed polymorph (meV/atom): 550
ΔE_f (eV per atom): 0.771

First-principles (PBE) data for a geometry-optimized PrCu5Pd2 structure, as listed in Alexandria via LeMat-Bulk.

Structure (POSCAR):
```
PrCu5Pd2
1.0
3.9300 0.0000 0.0000
1.9650 5.9036 0.2486
1.9650 1.3290 5.7575
Pr Cu Pd
1 5 2
Direct
0.0000 0.0000 0.0000
0.0000 0.5000 0.5000
0.6342 0.5392 0.1924
0.3658 0.4608 0.8076
0.3658 0.8076 0.4608
0.6342 0.1924 0.5392
0.7340 0.7660 0.7660
0.2660 0.2340 0.2340
```

Properties
Size of the total moment (μB per cell): 0.0
V (Å³/atom): 16.535
ΔE_f (eV per atom): -0.130